No. 1
Material: Pr2AlRuO6
Method: DFT, PBE
State: optimized geometry

Cell lengths 5.4864, 5.4920, 7.7630 Å; angles 90.00, 90.00, 90.00 degrees
Last column: nearest neighbours and their distance in Å.
Atoms (fractional coordinates):
O  0.7592  0.9905  0.0000  1 Al 1.87, 1 Ru 2.01
O  0.2408  0.9905  0.0000  1 Al 1.87, 1 Ru 2.01
O  0.7591  0.5098  0.0000  1 Al 1.87, 1 Ru 2.01
O  0.7409  0.4902  0.5000  1 Al 1.87, 1 Ru 2.01
O  0.0000  0.7503  0.7595  1 Al 1.87, 1 Ru 2.01
O  0.5000  0.2497  0.2595  1 Al 1.87, 1 Ru 2.01
O  0.2592  0.0095  0.5000  1 Al 1.87, 1 Ru 2.01
O  0.7408  0.0095  0.5000  1 Al 1.87, 1 Ru 2.01
O  0.2409  0.5098  0.0000  1 Al 1.87, 1 Ru 2.01
O  0.2591  0.4902  0.5000  1 Al 1.87, 1 Ru 2.01
O  0.5000  0.2497  0.7405  1 Al 1.87, 1 Ru 2.01
O  0.0000  0.7503  0.2405  1 Al 1.87, 1 Ru 2.01
Pr  0.5000  0.7502  0.7503  12 O 2.74-2.75
Pr  0.0000  0.2498  0.7497  12 O 2.74-2.75
Pr  0.5000  0.7502  0.2497  12 O 2.74-2.75
Pr  0.0000  0.2498  0.2503  12 O 2.74-2.75
Al  0.5000  0.2500  0.5000  6 O 1.87
Al  0.0000  0.7500  0.0000  6 O 1.87
Ru  0.0000  0.7499  0.5000  6 O 2.01
Ru  0.5000  0.2501  0.0000  6 O 2.01

Formation energy from raw total energies in meV/atom: -2521


No. 2
Material: KAs
Method: DFT, PBE
State: optimized geometry

Cell lengths 4.1083, 5.2888, 6.4571 Å; angles 65.91, 90.00, 90.00 degrees
Last column: nearest neighbours and their distance in Å.
Atoms (fractional coordinates):
K  0.0000  0.5111  0.6017  7 As 3.46-3.55, 2 K 3.82
K  0.5000  0.2389  0.1483  7 As 3.46-3.55, 2 K 3.82
As  0.0000  0.8114  0.0029  2 As 2.55
As  0.5000  0.9386  0.7471  2 As 2.55

DFT formation energy in eV/atom: -0.428
E above lowest polymorph in meV per atom: 36.1


No. 3
Material: Tm2Co4Sn3
Method: DFT, PBE
State: optimized geometry

Cell lengths 5.7995, 6.8131, 8.5157 Å; angles 90.00, 109.91, 90.00 degrees
Last column: nearest neighbours and their distance in Å.
Atoms (fractional coordinates):
Co  0.8275  0.2500  0.1550  3 Sn 2.56-2.60, 2 Co 2.67, 2 Tm 2.72
Co  0.8374  0.0119  0.6747  5 Sn 2.61-2.68, 2 Co 2.67
Co  0.3374  0.4881  0.6747  5 Sn 2.61-2.68, 2 Co 2.67
Co  0.3275  0.2500  0.1550  3 Sn 2.56-2.60, 2 Co 2.67, 2 Tm 2.72
Co  0.6725  0.7500  0.8450  3 Sn 2.56-2.60, 2 Co 2.67, 2 Tm 2.72
Co  0.1626  0.9881  0.3253  5 Sn 2.61-2.68, 2 Co 2.67
Co  0.1725  0.7500  0.8450  3 Sn 2.56-2.60, 2 Co 2.67, 2 Tm 2.72
Co  0.6626  0.5119  0.3253  5 Sn 2.61-2.68, 2 Co 2.67
Tm  0.1002  0.5832  0.2003  3 Co 2.72-2.93
Tm  0.3998  0.0832  0.7997  3 Co 2.72-2.93
Tm  0.8998  0.4168  0.7997  3 Co 2.72-2.93
Tm  0.6002  0.9168  0.2003  3 Co 2.72-2.93
Sn  0.4898  0.2500  0.4796  5 Co 2.60-2.68, 2 Sn 2.90
Sn  0.0102  0.7500  0.5204  5 Co 2.60-2.68, 2 Sn 2.90
Sn  0.5000  0.5000  0.0000  6 Co 2.56-2.61
Sn  0.9898  0.2500  0.4796  5 Co 2.60-2.68, 2 Sn 2.90
Sn  0.5102  0.7500  0.5204  5 Co 2.60-2.68, 2 Sn 2.90
Sn  0.0000  0.0000  0.0000  6 Co 2.56-2.61

DFT formation energy in eV/atom: -0.274